No. 1
Material: FeCo2Os
Method: DFT, PBE
State: optimized geometry

Cell: 8.397 8.397 8.397 Å, 17.88 17.88 17.88°
Site moments in Bohr magnetons follow the coordinates.
Element x y z (fractional)
Fe 0.503 0.503 0.503  2.21
Co 0.996 0.996 0.996  1.49
Co 0.251 0.251 0.251  1.65
Os 0.750 0.750 0.750  -0.03

Calculated values
N(E_F), states/eV/cell: 4.317
Energy relative to the lowest polymorph listed for this composition, eV per atom: 0.059
Uncorrected energy, eV/atom: -8.3237
Calculated volume, A^3/atom: 12.17
Formation energy from the elements, eV/atom: 0.152
Total magnetization, μB per cell: 5.26

---

No. 2
Material: Pm3DyYTm
Method: DFT, PBE
State: optimized geometry

Cell: 5.094 8.030 10.760 Å, 116.54 90.00 90.00°
Element x y z (fractional)
Pm 0.750 0.378 0.208
Pm 0.250 0.622 0.792
Pm 0.750 0.373 0.542
Pm 0.750 0.874 0.042
Pm 0.250 0.126 0.958
Pm 0.250 0.627 0.458
Y 0.250 0.123 0.293
Y 0.750 0.877 0.707
Tm 0.750 0.877 0.377
Tm 0.250 0.123 0.623
Dy 0.250 0.627 0.126
Dy 0.750 0.373 0.874

Calculated values
N(E_F), states/eV/cell: 16.885
Uncorrected energy, eV/atom: -4.9436
Calculated volume, A^3/atom: 32.81
Formation energy from the elements, eV/atom: 0.021
Total magnetization, μB per cell: 0.00

---

No. 3
Material: CsIn2NiAg
Method: DFT, PBE
State: optimized geometry

Cell: 5.039 5.039 5.539 Å, 90.00 90.00 90.00°
Element x y z (fractional)
Ni 0.000 0.000 0.000
In 0.500 0.000 0.000
In 0.000 0.500 0.000
Cs 0.500 0.500 0.500
Ag 0.000 0.000 0.500

Calculated values
N(E_F), states/eV/cell: 1.772
Uncorrected energy, eV/atom: -2.9396
Calculated volume, A^3/atom: 28.13
Formation energy from the elements, eV/atom: 0.053
Total magnetization, μB per cell: 0.00

---

No. 4
Material: AcGaAu2
Method: DFT, PBE
State: optimized geometry

Cell: 4.238 4.850 4.850 Å, 90.00 90.00 90.00°
Element x y z (fractional)
Au 0.000 0.500 0.000
Au 0.000 0.000 0.500
Ac 0.500 0.000 0.000
Ga 0.500 0.500 0.500

Calculated values
N(E_F), states/eV/cell: 2.117
Uncorrected energy, eV/atom: -3.8926
Calculated volume, A^3/atom: 24.93
Formation energy from the elements, eV/atom: -0.470
Total magnetization, μB per cell: 0.00